Material: K4RhBr
Method: DFT, PBE
State: optimized geometry

Computed properties:
Total energy = -1.8422 eV/atom
Formation energy without anion corrections = 0.39 eV/atom

The structure in CIF format:
```
data_K4RhBr
_chemical_formula_sum 'K16 Rh4 Br4'
_space_group_name_H-M_alt 'F -4 3 m'
_space_group_IT_number 216
_space_group_name_Hall 'F -4 2 3'
_cell_length_a 9.747
_cell_length_b 9.747
_cell_length_c 9.747
_cell_angle_alpha 90.00
_cell_angle_beta 90.00
_cell_angle_gamma 90.00
loop_
_atom_site_label
_atom_site_type_symbol
_atom_site_fract_x
_atom_site_fract_y
_atom_site_fract_z
_atom_site_occupancy
K1 K 0.125 0.125 0.125 1
Rh1 Rh 0.250 0.250 0.750 1
Br1 Br 0.000 0.000 0.500 1
```